Material: Cs2RbH4Pd
Method: DFT, PBE
State: relaxed

Cell: 14.3884 12.8723 7.7301 Å, 84.69 62.97 32.34°
Last column: nearest neighbours and their distance in Å.
Fractional positions:
Cs (0.0509, 0.0509, 0.6991)  2 H 2.94
Cs (0.3009, 0.3009, 0.9491)  2 H 2.94
Cs (0.6991, 0.6991, 0.0509)  2 H 2.94
Cs (0.9491, 0.9491, 0.3009)  2 H 2.94
Rb (0.1250, 0.1250, 0.1250)  2 Pd 3.04
Rb (0.8750, 0.8750, 0.8750)  2 Pd 3.04
H (0.2348, 0.4202, 0.3511)  1 Pd 1.67
H (0.3511, 0.4939, 0.2348)  1 Pd 1.67
H (0.4202, 0.2348, 0.4939)  1 Pd 1.67
H (0.4939, 0.3511, 0.4202)  1 Pd 1.67
H (0.5061, 0.6489, 0.5798)  1 Pd 1.67
H (0.5798, 0.7652, 0.5061)  1 Pd 1.67
H (0.6489, 0.5061, 0.7652)  1 Pd 1.67
H (0.7652, 0.5798, 0.6489)  1 Pd 1.67
Pd (0.3750, 0.3750, 0.3750)  4 H 1.67
Pd (0.6250, 0.6250, 0.6250)  4 H 1.67

VASP energy: -2.739 eV per atom
Total magnetization: 0.000 μB per atom
Calculated density: 2.84 g/cm3